Sm2TmPa GGA-PBE relaxed; total magnetization = 0.0 Bohr magnetons per cell; energy above the most stable polymorph in this dataset = 78 meV/atom; formation enthalpy at 0 K = 236 meV per atom
1.0
-1.392 4.258 -1.992
-4.028 0.039 2.900
2.534 2.460 3.487
Tm Pa Sm
1 1 2
direct
0.500 0.500 0.500
0.500 0.000 0.000
0.000 0.000 0.500
0.000 0.500 0.000